No. 1
Compound: OsCl4
Source: the Open Quantum Materials Database
Functional: GGA-PBE
Structure: optimized geometry

Cell lengths 6.698, 6.698, 8.174 Å; angles 125.21, 125.21, 56.53 degrees
Positions (direct):
1 Cl 0.676 0.676 0.153
2 Cl 0.213 0.213 0.184
3 Cl 0.785 0.253 0.300
4 Cl 0.253 0.785 0.300
5 Cl 0.747 0.215 0.700
6 Cl 0.215 0.747 0.700
7 Cl 0.787 0.787 0.816
8 Cl 0.324 0.324 0.847
9 Os 0.790 0.210 0.000
10 Os 0.210 0.790 0.000

***

No. 2
Compound: OsCl2
Source: the Open Quantum Materials Database
Functional: GGA-PBE
Structure: optimized geometry

Cell lengths 5.485, 5.485, 5.485 Å; angles 60.00, 60.00, 60.00 degrees
Last column: magnetic moment on the atom in μB.
Positions (direct):
1 Cl 0.625 0.625 0.125  -0.19
2 Cl 0.625 0.125 0.625  -0.13
3 Cl 0.125 0.625 0.625  0.05
4 Cl 0.625 0.625 0.625  -0.14
5 Os 0.000 0.000 0.000  2.70
6 Os 0.250 0.250 0.250  2.70

***

No. 3
Compound: Os2Cl
Source: the Open Quantum Materials Database
Functional: GGA-PBE
Structure: optimized geometry

Cell lengths 7.251, 7.251, 7.251 Å; angles 60.00, 60.00, 60.00 degrees
Last column: magnetic moment on the atom in μB.
Positions (direct):
1 Cl 0.250 0.250 0.250  0.03
2 Cl 0.500 0.500 0.500  0.03
3 Os 0.875 0.375 0.375  2.12
4 Os 0.375 0.375 0.375  2.19
5 Os 0.375 0.875 0.375  2.22
6 Os 0.375 0.375 0.875  2.19

***

No. 4
Compound: OsCl2
Source: the Open Quantum Materials Database
Functional: GGA-PBE
Structure: optimized geometry

Cell lengths 7.362, 7.362, 7.362 Å; angles 60.00, 60.00, 60.00 degrees
Last column: magnetic moment on the atom in μB.
Positions (direct):
1 Cl 0.375 0.375 0.375  0.02
2 Cl 0.875 0.375 0.375  0.02
3 Cl 0.375 0.875 0.375  0.02
4 Cl 0.375 0.375 0.875  0.03
5 Os 0.250 0.250 0.250  0.26
6 Os 0.500 0.500 0.500  0.26

***

No. 5
Compound: OsCl6
Source: the Open Quantum Materials Database
Functional: GGA-PBE
Structure: optimized geometry

Cell lengths 5.938, 5.938, 11.085 Å; angles 90.33, 90.33, 115.25 degrees
Last column: magnetic moment on the atom in μB.
Positions (direct):
1 Cl 0.686 0.031 0.127  0.08
2 Cl 0.360 0.352 0.129  0.08
3 Cl 0.965 0.633 0.136  0.09
4 Cl 0.367 0.035 0.364  0.08
5 Cl 0.648 0.640 0.371  0.08
6 Cl 0.969 0.314 0.373  0.08
7 Cl 0.031 0.686 0.627  0.08
8 Cl 0.352 0.360 0.629  0.08
9 Cl 0.633 0.965 0.636  0.08
10 Cl 0.035 0.367 0.864  0.09
11 Cl 0.640 0.648 0.871  0.08
12 Cl 0.314 0.969 0.873  0.08
13 Os 0.666 0.334 0.250  1.25
14 Os 0.334 0.666 0.750  1.25

***

No. 6
Compound: OsCl5
Source: the Open Quantum Materials Database
Functional: GGA-PBE
Structure: optimized geometry

Cell lengths 6.293, 7.044, 9.164 Å; angles 69.79, 89.54, 63.68 degrees
Last column: magnetic moment on the atom in μB.
Positions (direct):
1 Cl 0.246 0.688 0.077  0.19
2 Cl 0.379 0.050 0.175  0.18
3 Cl 0.781 0.522 0.250  0.19
4 Cl 0.021 0.864 0.355  0.20
5 Cl 0.436 0.328 0.455  0.03
6 Cl 0.564 0.672 0.545  0.03
7 Cl 0.979 0.136 0.645  0.20
8 Cl 0.219 0.478 0.750  0.19
9 Cl 0.621 0.950 0.825  0.18
10 Cl 0.754 0.312 0.923  0.19
11 Os 0.395 0.705 0.291  1.80
12 Os 0.605 0.295 0.709  1.80

***

No. 7
Compound: OsCl2
Source: the Open Quantum Materials Database
Functional: GGA-PBE
Structure: optimized geometry

Cell lengths 5.507, 5.507, 3.716 Å; angles 90.00, 90.00, 90.00 degrees
Positions (direct):
1 Cl 0.304 0.304 0.000
2 Cl 0.696 0.696 0.000
3 Cl 0.804 0.196 0.500
4 Cl 0.196 0.804 0.500
5 Os 0.000 0.000 0.000
6 Os 0.500 0.500 0.500

***

No. 8
Compound: Sb3OsCl
Source: the Open Quantum Materials Database
Functional: GGA-PBE
Structure: optimized geometry

Cell lengths 5.043, 5.043, 5.043 Å; angles 90.00, 90.00, 90.00 degrees
Positions (direct):
1 Cl 0.000 0.000 0.000
2 Os 0.500 0.500 0.500
3 Sb 0.500 0.000 0.000
4 Sb 0.000 0.500 0.000
5 Sb 0.000 0.000 0.500

***

No. 9
Compound: SmOsCl
Source: the Open Quantum Materials Database
Functional: GGA-PBE
Structure: optimized geometry

Cell lengths 4.160, 4.160, 11.001 Å; angles 91.67, 91.67, 59.93 degrees
Positions (direct):
1 Cl 0.684 0.684 0.341
2 Cl 0.316 0.316 0.659
3 Os 0.335 0.335 0.016
4 Os 0.665 0.665 0.984
5 Sm 0.011 0.011 0.191
6 Sm 0.989 0.989 0.809

***

No. 10
Compound: Tl2OsCl6
Source: the Open Quantum Materials Database
Functional: GGA-PBE
Structure: optimized geometry

Cell lengths 6.945, 6.945, 6.016 Å; angles 90.89, 90.89, 60.06 degrees
Last column: magnetic moment on the atom in μB.
Positions (direct):
1 Cl 0.681 0.161 0.221  0.06
2 Cl 0.161 0.681 0.221  0.06
3 Cl 0.162 0.162 0.224  0.06
4 Cl 0.838 0.838 0.776  0.06
5 Cl 0.839 0.319 0.779  0.06
6 Cl 0.319 0.839 0.779  0.06
7 Os 0.000 0.000 0.000  1.35
8 Tl 0.669 0.669 0.193  0.01
9 Tl 0.331 0.331 0.807  0.01

***

No. 11
Compound: Y4OsCl4
Source: the Open Quantum Materials Database
Functional: GGA-PBE
Structure: optimized geometry

Cell lengths 8.577, 8.577, 6.499 Å; angles 90.32, 90.32, 89.30 degrees
Positions (direct):
1 Cl 0.814 0.582 0.096
2 Cl 0.422 0.818 0.096
3 Cl 0.182 0.578 0.404
4 Cl 0.418 0.186 0.404
5 Cl 0.582 0.814 0.596
6 Cl 0.818 0.422 0.596
7 Cl 0.578 0.182 0.904
8 Cl 0.186 0.418 0.904
9 Os 0.993 0.007 0.250
10 Os 0.007 0.993 0.750
11 Y 0.258 0.104 0.009
12 Y 0.106 0.740 0.012
13 Y 0.260 0.894 0.488
14 Y 0.896 0.742 0.491
15 Y 0.104 0.258 0.509
16 Y 0.740 0.106 0.512
17 Y 0.894 0.260 0.988
18 Y 0.742 0.896 0.991

***

No. 12
Compound: ZnOsCl6
Source: the Open Quantum Materials Database
Functional: GGA-PBE
Structure: optimized geometry

Cell lengths 5.982, 5.988, 6.449 Å; angles 62.50, 62.46, 60.06 degrees
Last column: magnetic moment on the atom in μB.
Positions (direct):
1 Cl 0.265 0.573 0.255  0.08
2 Cl 0.907 0.265 0.256  0.08
3 Cl 0.573 0.906 0.256  0.08
4 Cl 0.427 0.094 0.744  0.08
5 Cl 0.093 0.735 0.744  0.08
6 Cl 0.735 0.427 0.745  0.08
7 Os 0.500 0.500 0.500  1.30
8 Zn 0.000 0.000 0.000  0.01

***

No. 13
Compound: RePCl9
Source: the Open Quantum Materials Database
Functional: GGA-PBE
Structure: optimized geometry

Cell lengths 9.018, 9.508, 6.904 Å; angles 95.57, 95.76, 101.10 degrees
Last column: magnetic moment on the atom in μB.
Positions (direct):
1 Cl 0.804 0.417 0.059  0.00
2 Cl 0.283 0.242 0.065  0.09
3 Cl 0.393 0.885 0.157  0.00
4 Cl 0.894 0.121 0.159  0.00
5 Cl 0.056 0.770 0.257  0.00
6 Cl 0.516 0.549 0.284  0.02
7 Cl 0.581 0.219 0.374  0.08
8 Cl 0.163 0.442 0.418  0.08
9 Cl 0.760 0.869 0.482  0.07
10 Cl 0.240 0.131 0.518  0.07
11 Cl 0.837 0.558 0.582  0.08
12 Cl 0.419 0.781 0.626  0.08
13 Cl 0.484 0.451 0.716  0.02
14 Cl 0.944 0.230 0.743  0.00
15 Cl 0.106 0.879 0.841  0.00
16 Cl 0.607 0.115 0.843  0.00
17 Cl 0.717 0.758 0.935  0.09
18 Cl 0.196 0.583 0.941  0.00
19 P 0.189 0.779 0.049  0.01
20 P 0.811 0.221 0.951  0.01
21 Re 0.370 0.329 0.389  2.27
22 Re 0.630 0.671 0.611  2.27

***

No. 14
Compound: TaP4S6Cl5
Source: the Open Quantum Materials Database
Functional: GGA-PBE
Structure: optimized geometry

Cell lengths 6.898, 11.170, 11.645 Å; angles 101.63, 95.79, 103.30 degrees
Positions (direct):
1 Cl 0.407 0.763 0.046
2 Cl 0.195 0.135 0.091
3 Cl 0.439 0.452 0.135
4 Cl 0.675 0.105 0.179
5 Cl 0.484 0.307 0.350
6 Cl 0.516 0.693 0.650
7 Cl 0.325 0.895 0.821
8 Cl 0.561 0.548 0.865
9 Cl 0.805 0.865 0.909
10 Cl 0.593 0.237 0.954
11 P 0.945 0.869 0.231
12 P 0.961 0.574 0.287
13 P 0.265 0.830 0.453
14 P 0.057 0.196 0.495
15 P 0.943 0.804 0.505
16 P 0.735 0.170 0.547
17 P 0.039 0.426 0.713
18 P 0.055 0.131 0.769
19 S 0.889 0.668 0.157
20 S 0.913 0.391 0.212
21 S 0.246 0.931 0.318
22 S 0.264 0.643 0.362
23 S 0.798 0.887 0.383
24 S 0.812 0.606 0.434
25 S 0.188 0.394 0.566
26 S 0.202 0.113 0.617
27 S 0.736 0.357 0.638
28 S 0.754 0.069 0.682
29 S 0.087 0.609 0.788
30 S 0.111 0.332 0.843
31 Ta 0.517 0.263 0.147
32 Ta 0.483 0.737 0.853

***

No. 15
Compound: TaP4S4Cl5
Source: the Open Quantum Materials Database
Functional: GGA-PBE
Structure: optimized geometry

Cell lengths 6.692, 9.266, 13.375 Å; angles 100.35, 92.82, 110.94 degrees
Positions (direct):
1 Cl 0.646 0.247 0.056
2 Cl 0.254 0.381 0.058
3 Cl 0.146 0.005 0.114
4 Cl 0.600 0.212 0.294
5 Cl 0.204 0.341 0.294
6 Cl 0.796 0.659 0.706
7 Cl 0.400 0.788 0.706
8 Cl 0.854 0.995 0.886
9 Cl 0.746 0.619 0.942
10 Cl 0.354 0.753 0.944
11 P 0.678 0.560 0.249
12 P 0.130 0.829 0.329
13 P 0.844 0.927 0.336
14 P 0.730 0.611 0.430
15 P 0.270 0.389 0.570
16 P 0.156 0.073 0.664
17 P 0.870 0.171 0.671
18 P 0.322 0.440 0.751
19 S 0.993 0.625 0.210
20 S 0.613 0.755 0.218
21 S 0.070 0.704 0.450
22 S 0.693 0.833 0.459
23 S 0.307 0.167 0.541
24 S 0.930 0.296 0.550
25 S 0.387 0.245 0.782
26 S 0.007 0.375 0.790
27 Ta 0.391 0.259 0.166
28 Ta 0.609 0.741 0.834

***

No. 16
Compound: TbTmPCl2
Source: the Open Quantum Materials Database
Functional: GGA-PBE
Structure: optimized geometry

Cell lengths 3.908, 3.908, 10.163 Å; angles 90.00, 90.00, 120.00 degrees
Positions (direct):
1 Cl 0.667 0.333 0.314
2 Cl 0.333 0.667 0.691
3 P 0.000 0.000 0.996
4 Tb 0.333 0.667 0.150
5 Tm 0.667 0.333 0.849

***

No. 17
Compound: Tm3PCl
Source: the Open Quantum Materials Database
Functional: GGA-PBE
Structure: optimized geometry

Cell lengths 5.247, 5.247, 5.247 Å; angles 90.00, 90.00, 90.00 degrees
Positions (direct):
1 Cl 0.000 0.000 0.000
2 P 0.500 0.500 0.500
3 Tm 0.500 0.500 0.000
4 Tm 0.500 0.000 0.500
5 Tm 0.000 0.500 0.500

***

No. 18
Compound: Tm3PCl3
Source: the Open Quantum Materials Database
Functional: GGA-PBE
Structure: optimized geometry

Cell lengths 7.949, 7.949, 6.440 Å; angles 90.00, 90.00, 120.00 degrees
Positions (direct):
1 Cl 0.298 0.149 0.265
2 Cl 0.851 0.149 0.265
3 Cl 0.851 0.702 0.265
4 Cl 0.149 0.298 0.735
5 Cl 0.149 0.851 0.735
6 Cl 0.702 0.851 0.735
7 P 0.333 0.667 0.284
8 P 0.667 0.333 0.716
9 Tm 0.000 0.000 0.000
10 Tm 0.667 0.333 0.116
11 Tm 0.500 0.000 0.500
12 Tm 0.000 0.500 0.500
13 Tm 0.500 0.500 0.500
14 Tm 0.333 0.667 0.884

***

No. 19
Compound: PW6Cl17
Source: the Open Quantum Materials Database
Functional: GGA-PBE
Structure: optimized geometry

Cell lengths 6.805, 10.110, 10.110 Å; angles 105.16, 109.67, 109.67 degrees
Last column: magnetic moment on the atom in μB.
Positions (direct):
1 Cl 0.312 0.930 0.236  0.00
2 Cl 0.854 0.930 0.236  0.00
3 Cl 0.238 0.238 0.238  0.01
4 Cl 0.153 0.559 0.263  0.00
5 Cl 0.670 0.559 0.263  0.00
6 Cl 0.734 0.946 0.522  0.00
7 Cl 0.540 0.540 0.540  0.00
8 Cl 0.153 0.263 0.559  0.00
9 Cl 0.670 0.263 0.559  0.00
10 Cl 0.074 0.574 0.574  0.02
11 Cl 0.307 0.982 0.632  0.00
12 Cl 0.114 0.860 0.860  0.00
13 Cl 0.607 0.860 0.860  0.00
14 Cl 0.312 0.236 0.930  0.00
15 Cl 0.854 0.236 0.930  0.00
16 Cl 0.734 0.522 0.946  0.01
17 Cl 0.307 0.632 0.982  0.00
18 P 0.683 0.183 0.183  0.00
19 W 0.482 0.902 0.063  -0.01
20 W 0.739 0.382 0.096  0.17
21 W 0.085 0.382 0.382  0.10
22 W 0.678 0.382 0.382  0.10
23 W 0.739 0.096 0.382  0.16
24 W 0.482 0.063 0.902  -0.01

***

No. 20
Compound: Pa3Cl2
Source: the Open Quantum Materials Database
Functional: GGA-PBE
Structure: optimized geometry

Cell lengths 6.716, 6.716, 7.221 Å; angles 117.71, 62.29, 120.00 degrees
Last column: magnetic moment on the atom in μB.
Positions (direct):
1 Cl 0.664 0.336 0.009  -0.01
2 Cl 0.836 0.164 0.491  -0.01
3 Cl 0.164 0.836 0.509  -0.01
4 Cl 0.336 0.664 0.991  -0.01
5 Pa 0.584 0.750 0.250  0.29
6 Pa 0.916 0.416 0.250  0.29
7 Pa 0.250 0.084 0.250  0.27
8 Pa 0.750 0.916 0.750  0.27
9 Pa 0.084 0.584 0.750  0.28
10 Pa 0.416 0.250 0.750  0.29

***

Let's list DFT total energy in order: -4.03 -2.75 -4.64 -4.31 -3.49 -3.80 -4.73 -3.42 -7.04 -3.72 -6.45 -3.49 -3.73 -4.82 -4.89 -5.59 -4.49 -4.71 -5.54 -6.69 eV/atom.